# 1
Below is a PBEsol-optimized structure of K3ErCl6, with properties calculated at the meta-GGA SCAN level.

Cell and atoms, written as POSCAR:
```
K3ErCl6
1.0
7.672 0.000 0.000
0.000 12.364 0.010
0.000 -4.376 12.146
K Cl Er
12 24 4
Cartesian
4.452 -2.236 9.992 K
3.514 1.952 7.427 K
3.401 5.941 9.914 K
7.237 8.229 2.247 K
4.158 6.036 4.729 K
0.435 -0.241 9.909 K
4.271 2.047 2.242 K
7.056 3.946 9.997 K
3.220 10.225 2.164 K
7.350 -0.145 4.724 K
0.616 4.043 2.159 K
0.322 8.134 7.432 K
3.592 7.931 7.321 Cl
5.433 4.460 7.363 Cl
1.597 9.710 4.798 Cl
6.075 -1.722 7.358 Cl
5.911 11.706 1.787 Cl
4.079 0.057 4.835 Cl
2.239 3.528 4.793 Cl
0.244 1.749 7.316 Cl
1.004 9.955 0.019 Cl
2.531 -0.997 7.935 Cl
5.597 5.524 1.782 Cl
1.761 -3.717 10.369 Cl
6.116 7.374 10.166 Cl
6.367 2.803 4.216 Cl
4.839 4.215 12.142 Cl
1.556 0.615 1.990 Cl
5.141 8.985 4.221 Cl
2.280 6.797 1.995 Cl
2.075 2.465 10.374 Cl
5.392 1.192 10.161 Cl
1.305 5.185 7.940 Cl
6.668 -1.967 12.137 Cl
7.428 6.239 4.840 Cl
2.832 3.773 0.014 Cl
3.836 6.182 0.005 Er
3.836 -2.188 6.073 Er
0.000 3.994 6.078 Er
0.000 0.000 0.000 Er
```

Values from the calculation:
ΔE_f (raw) ... -2.375 eV per atom


# 2
Below is a PBEsol-optimized structure of DyUN2, with properties calculated at the meta-GGA SCAN level.

Cell and atoms, written as POSCAR:
```
DyUN2
1.0
-0.050 0.681 -3.326
-1.409 -2.205 -2.163
-5.426 2.061 -1.230
N U Dy
2 1 1
Cartesian
-1.651 0.098 -1.688 N
-5.234 0.439 -5.030 N
0.000 0.000 0.000 U
-3.443 0.269 -3.359 Dy
```

Values from the calculation:
ΔE_f (raw) ... -1.613 eV per atom


# 3
Below is a PBEsol-optimized structure of CaZrV2O8, with properties calculated at the meta-GGA SCAN level.

Cell and atoms, written as POSCAR:
```
CaZrV2O8
1.0
-1.952 -4.134 3.599
4.694 -1.316 -3.176
1.551 4.473 3.382
Ca O V Zr
1 8 2 1
Cartesian
0.000 0.000 0.000 Ca
4.402 1.817 0.165 O
4.258 -0.760 1.536 O
4.401 -0.881 -0.958 O
0.838 -1.757 1.520 O
2.548 2.582 2.144 O
3.057 -3.002 0.322 O
2.141 0.224 3.622 O
2.171 0.689 0.091 O
1.371 -2.725 0.211 V
3.808 0.216 0.208 V
0.485 -1.193 3.596 Zr
```

Values from the calculation:
ΔE_f (raw) ... -3.088 eV per atom


# 4
Below is a PBEsol-optimized structure of ReNi2W, with properties calculated at the meta-GGA SCAN level.

Cell and atoms, written as POSCAR:
```
ReNi2W
1.0
-1.903 0.575 -1.619
-1.968 -3.374 1.114
-1.438 2.229 4.209
Re Ni W
1 2 1
Cartesian
-1.656 1.332 1.109 Re
-3.117 -0.587 0.122 Ni
-1.566 0.475 -1.326 Ni
-2.544 0.187 3.477 W
```

Values from the calculation:
Calculated formation energy ... -0.010 eV per atom


# 5
Below is a PBEsol-optimized structure of TlCu2As2, with properties calculated at the meta-GGA SCAN level.

Cell and atoms, written as POSCAR:
```
TlCu2As2
1.0
-1.350 -2.107 -3.476
2.507 -3.314 1.035
-4.313 0.716 3.880
Cu As Tl
2 2 1
Cartesian
-0.613 -2.654 1.847 Cu
-2.542 -2.051 -0.408 Cu
-2.793 -1.492 1.989 As
-0.362 -3.213 -0.550 As
0.000 0.000 0.000 Tl
```

Values from the calculation:
Calculated formation energy ... 0.052 eV per atom


# 6
Below is a PBEsol-optimized structure of LaCu2Pb, with properties calculated at the meta-GGA SCAN level.

Cell and atoms, written as POSCAR:
```
LaCu2Pb
1.0
4.261 0.000 0.000
-2.130 3.686 -0.052
0.000 -2.387 5.602
Cu Pb La
2 1 1
Cartesian
2.130 1.293 5.086 Cu
0.000 0.064 4.986 Cu
2.130 1.238 0.785 Pb
2.130 -1.190 3.042 La
```

Values from the calculation:
Calculated formation energy ... -0.250 eV per atom


# 7
Below is a PBEsol-optimized structure of CdCo, with properties calculated at the meta-GGA SCAN level.

Cell and atoms, written as POSCAR:
```
CdCo
1.0
-0.063 2.929 -0.182
-1.063 0.249 4.373
4.926 -1.429 -1.044
Co Cd
2 2
Cartesian
3.299 0.049 -0.363 Co
0.502 1.700 3.509 Co
3.113 1.652 1.824 Cd
0.687 0.097 1.323 Cd
```

Values from the calculation:
Calculated formation energy ... 0.294 eV per atom


# 8
Below is a PBEsol-optimized structure of BaCo2Re, with properties calculated at the meta-GGA SCAN level.

Cell and atoms, written as POSCAR:
```
BaCo2Re
1.0
-0.081 -4.035 0.638
3.299 -1.901 1.478
-0.796 -1.103 6.003
Re Co Ba
1 2 1
Cartesian
-0.040 -2.018 0.319 Re
0.912 -3.941 1.362 Co
1.510 -3.099 6.757 Co
1.251 -1.502 3.741 Ba
```

Values from the calculation:
Energy above the lowest structure with this stoichiometry ... 0 meV/atom
Calculated formation energy ... 0.400 eV per atom


# 9
Below is a PBEsol-optimized structure of LaReH2, with properties calculated at the meta-GGA SCAN level.

Cell and atoms, written as POSCAR:
```
LaReH2
1.0
4.135 0.000 0.000
2.068 3.581 0.000
2.068 1.194 3.376
Re H La
1 2 1
Cartesian
4.135 2.387 1.688 Re
2.068 1.194 0.844 H
6.203 3.581 2.532 H
0.000 0.000 0.000 La
```


# 10
Below is a PBEsol-optimized structure of Mg2HgRh, with properties calculated at the meta-GGA SCAN level.

Cell and atoms, written as POSCAR:
```
Mg2HgRh
1.0
3.191 0.000 0.000
0.000 3.191 0.000
0.000 0.000 6.784
Mg Hg Rh
2 1 1
Cartesian
0.000 0.000 1.445 Mg
0.000 0.000 5.339 Mg
1.596 1.596 3.392 Hg
1.596 1.596 0.000 Rh
```

Values from the calculation:
Calculated formation energy ... -0.495 eV per atom


# 11
Below is a PBEsol-optimized structure of SrBe2Tc, with properties calculated at the meta-GGA SCAN level.

Cell and atoms, written as POSCAR:
```
SrBe2Tc
1.0
-3.100 3.134 -0.452
-0.513 -1.121 -4.256
-3.740 -6.198 4.391
Sr Tc Be
2 2 4
Cartesian
-4.323 -1.029 0.792 Sr
-1.806 1.006 -2.354 Sr
-3.030 -3.156 -1.110 Tc
0.000 0.000 0.000 Tc
-1.515 -1.578 -0.555 Be
-3.641 -5.238 -0.487 Be
-1.771 -2.139 -2.683 Be
-5.191 -3.671 -0.713 Be
```

Values from the calculation:
Energy above the lowest structure with this stoichiometry ... 58 meV/atom
Calculated formation energy ... 0.660 eV per atom


# 12
Below is a PBEsol-optimized structure of ZrI3O, with properties calculated at the meta-GGA SCAN level.

Cell and atoms, written as POSCAR:
```
ZrI3O
1.0
5.606 0.000 0.000
0.000 5.606 0.000
0.000 0.000 5.606
O I Zr
1 3 1
Cartesian
2.803 2.803 2.803 O
0.000 0.000 2.803 I
2.803 0.000 0.000 I
0.000 2.803 0.000 I
0.000 0.000 0.000 Zr
```

Values from the calculation:
ΔE_f (raw) ... -0.019 eV per atom


# 13
Below is a PBEsol-optimized structure of ZrBe4Ir, with properties calculated at the meta-GGA SCAN level.

Cell and atoms, written as POSCAR:
```
ZrBe4Ir
1.0
4.518 0.000 0.000
2.259 3.913 0.000
2.259 1.304 3.689
Zr Ir Be
1 1 4
Cartesian
0.000 0.000 0.000 Zr
6.777 3.913 2.767 Ir
4.518 2.609 3.231 Be
4.518 3.916 1.382 Be
3.386 1.955 1.382 Be
5.650 1.955 1.382 Be
```

Values from the calculation:
Calculated formation energy ... -0.542 eV per atom


Number 1: VASP energy -0.54001 Ha/atom, M_tot 0.000 μB per formula unit, Fermi-level density of states 0.0 states/eV/cell. Number 2: VASP energy -1.62025 Ha/atom, M_tot 1.366 μB per formula unit, Fermi-level density of states 4.8 states/eV/cell. Number 3: VASP energy -0.49687 Ha/atom, M_tot 0.000 μB per formula unit, Fermi-level density of states 0.0 states/eV/cell. Number 4: VASP energy -1.59100 Ha/atom, M_tot 0.000 μB per formula unit, Fermi-level density of states 2.0 states/eV/cell. Number 5: VASP energy -1.05013 Ha/atom, M_tot 0.000 μB per formula unit, Fermi-level density of states 2.0 states/eV/cell. Number 6: VASP energy -1.38072 Ha/atom, M_tot 0.000 μB per formula unit, Fermi-level density of states 3.5 states/eV/cell. Number 7: VASP energy -0.86600 Ha/atom, M_tot 1.737 μB per formula unit, Fermi-level density of states 2.4 states/eV/cell. Number 8: VASP energy -1.31983 Ha/atom, M_tot 1.816 μB per formula unit, Fermi-level density of states 2.9 states/eV/cell. Number 9: VASP energy -1.08508 Ha/atom, M_tot 1.045 μB per formula unit, Fermi-level density of states 2.7 states/eV/cell. Number 10: VASP energy -1.04612 Ha/atom, M_tot 0.000 μB per formula unit, Fermi-level density of states 1.3 states/eV/cell. Number 11: VASP energy -0.58250 Ha/atom, M_tot 1.044 μB per formula unit, Fermi-level density of states 5.3 states/eV/cell. Number 12: VASP energy -1.08227 Ha/atom, M_tot 1.352 μB per formula unit, Fermi-level density of states 10.4 states/eV/cell. Number 13: VASP energy -0.75008 Ha/atom, M_tot 0.088 μB per formula unit, Fermi-level density of states 2.2 states/eV/cell.